{
  "formula": "Ta2As2S",
  "functional": "PBE-GGA",
  "state": "optimized geometry",
  "vol_a3_per_fu": 86.7,
  "total_energy_ev_per_atom": -7.7777,
  "spacegroup": "P4/mbm (127)",
  "lattice_angstrom": [[7.093, 0.000, 0.000], [0.000, 7.093, 0.000], [0.000, 0.000, 3.448]],
  "species": ["Ta", "Ta", "Ta", "Ta", "As", "As", "As", "As", "S", "S"],
  "fractional_positions": [[0.151, 0.349, 0.000], [0.349, 0.849, 0.000], [0.651, 0.151, 0.000], [0.849, 0.651, 0.000], [0.140, 0.640, 0.500], [0.360, 0.140, 0.500], [0.640, 0.860, 0.500], [0.860, 0.360, 0.500], [0.000, 0.000, 0.000], [0.500, 0.500, 0.000]]
}



{
  "formula": "TcTeI2N",
  "functional": "PBE-GGA",
  "state": "optimized geometry",
  "e_above_lowest_polymorph_ev_per_atom": 1.217,
  "vol_a3_per_fu": 149.7,
  "spacegroup": "P4/mmm (123)",
  "lattice_angstrom": [[5.438, 0.000, 0.000], [0.000, 5.438, 0.000], [0.000, 0.000, 5.064]],
  "species": ["Tc", "Te", "I", "I", "N"],
  "fractional_positions": [[0.000, 0.000, 0.000], [0.000, 0.000, 0.500], [0.000, 0.500, 0.000], [0.500, 0.000, 0.000], [0.500, 0.500, 0.500]]
}



{
  "formula": "LaNd2Ru",
  "functional": "PBE-GGA",
  "state": "optimized geometry",
  "e_above_lowest_polymorph_ev_per_atom": 0.158,
  "formation_enthalpy_0k_mev_per_atom": -62,
  "vol_a3_per_fu": 119.5,
  "spacegroup": "P4/mmm (123)",
  "lattice_angstrom": [[3.543, 0.000, 0.000], [0.000, 3.543, 0.000], [0.000, 0.000, 9.520]],
  "species": ["La", "Nd", "Nd", "Ru"],
  "fractional_positions": [[0.000, 0.000, 0.000], [0.500, 0.500, 0.322], [0.500, 0.500, 0.678], [0.000, 0.000, 0.500]]
}



{
  "formula": "YErIn2",
  "functional": "PBE-GGA",
  "state": "optimized geometry",
  "e_above_lowest_polymorph_ev_per_atom": 0.000,
  "formation_enthalpy_0k_mev_per_atom": -470,
  "vol_a3_per_fu": 105.5,
  "spacegroup": "P4/mmm (123)",
  "lattice_angstrom": [[3.750, 0.000, 0.000], [0.000, 3.750, 0.000], [0.000, 0.000, 7.500]],
  "species": ["Y", "Er", "In", "In"],
  "fractional_positions": [[0.000, 0.000, 0.000], [0.000, 0.000, 0.500], [0.500, 0.500, 0.253], [0.500, 0.500, 0.747]]
}



{
  "formula": "AcPr12Y6",
  "functional": "PBE-GGA",
  "state": "optimized geometry",
  "e_above_lowest_polymorph_ev_per_atom": 0.046,
  "formation_enthalpy_0k_mev_per_atom": 226,
  "vol_a3_per_fu": 680.9,
  "spacegroup": "Im-3 (204)",
  "lattice_angstrom": [[-5.542, 5.542, 5.542], [5.542, -5.542, 5.542], [5.542, 5.542, -5.542]],
  "species": ["Ac", "Pr", "Pr", "Pr", "Pr", "Pr", "Pr", "Pr", "Pr", "Pr", "Pr", "Pr", "Pr", "Y", "Y", "Y", "Y", "Y", "Y"],
  "fractional_positions": [[0.000, 0.000, 0.000], [0.068, 0.265, 0.803], [0.197, 0.462, 0.265], [0.197, 0.932, 0.735], [0.265, 0.197, 0.462], [0.265, 0.803, 0.068], [0.462, 0.265, 0.197], [0.538, 0.735, 0.803], [0.735, 0.197, 0.932], [0.735, 0.803, 0.538], [0.803, 0.068, 0.265], [0.803, 0.538, 0.735], [0.932, 0.735, 0.197], [0.143, 0.500, 0.643], [0.357, 0.857, 0.500], [0.500, 0.357, 0.857], [0.500, 0.643, 0.143], [0.643, 0.143, 0.500], [0.857, 0.500, 0.357]]
}



{
  "formula": "ScW5",
  "functional": "PBE-GGA",
  "state": "optimized geometry",
  "e_above_lowest_polymorph_ev_per_atom": 0.300,
  "formation_enthalpy_0k_mev_per_atom": 438,
  "vol_a3_per_fu": 101.9,
  "spacegroup": "Amm2 (38)",
  "lattice_angstrom": [[4.793, 0.000, 0.000], [0.000, 1.324, 8.027], [0.000, -1.324, 8.027]],
  "species": ["Sc", "W", "W", "W", "W", "W"],
  "fractional_positions": [[0.000, 0.000, 0.000], [0.000, 0.330, 0.330], [0.000, 0.669, 0.669], [0.500, 0.237, 0.237], [0.500, 0.572, 0.572], [0.500, 0.903, 0.903]]
}



{
  "formula": "GdZnSi2",
  "functional": "PBE-GGA",
  "state": "optimized geometry",
  "vol_a3_per_fu": 72.8,
  "total_energy_ev_per_atom": -6.8477,
  "spacegroup": "P4/mmm (123)",
  "lattice_angstrom": [[4.233, 0.000, 0.000], [0.000, 4.233, 0.000], [0.000, 0.000, 4.060]],
  "species": ["Gd", "Zn", "Si", "Si"],
  "fractional_positions": [[0.000, 0.000, 0.000], [0.500, 0.500, 0.000], [0.000, 0.500, 0.500], [0.500, 0.000, 0.500]]
}



{
  "formula": "LaZrCu",
  "functional": "PBE-GGA",
  "state": "optimized geometry",
  "e_above_lowest_polymorph_ev_per_atom": 0.245,
  "formation_enthalpy_0k_mev_per_atom": 196,
  "vol_a3_per_fu": 72.8,
  "spacegroup": "P3m1 (156)",
  "lattice_angstrom": [[3.467, 0.000, 0.000], [-1.734, 3.003, 0.000], [0.000, 0.000, 6.994]],
  "species": ["La", "Zr", "Cu"],
  "fractional_positions": [[0.000, 0.000, 0.000], [0.667, 0.333, 0.394], [0.333, 0.667, 0.662]]
}



{
  "formula": "La2YOs",
  "functional": "PBE-GGA",
  "state": "optimized geometry",
  "e_above_lowest_polymorph_ev_per_atom": 0.388,
  "formation_enthalpy_0k_mev_per_atom": 227,
  "vol_a3_per_fu": 101.2,
  "spacegroup": "F-43m (216)",
  "lattice_angstrom": [[0.000, 3.698, 3.698], [3.698, 0.000, 3.698], [3.698, 3.698, 0.000]],
  "species": ["La", "La", "Y", "Os"],
  "fractional_positions": [[0.000, 0.000, 0.000], [0.250, 0.250, 0.250], [0.750, 0.750, 0.750], [0.500, 0.500, 0.500]]
}



{
  "formula": "PuBeBiO5",
  "functional": "PBE-GGA",
  "state": "optimized geometry",
  "vol_a3_per_fu": 107.9,
  "total_energy_ev_per_atom": -8.0040,
  "spacegroup": "C2/c (15)",
  "lattice_angstrom": [[3.354, -4.538, 0.000], [3.354, 4.538, 0.000], [-2.648, 0.000, 7.090]],
  "species": ["Pu", "Pu", "Be", "Be", "Bi", "Bi", "O", "O", "O", "O", "O", "O", "O", "O", "O", "O"],
  "fractional_positions": [[0.000, 0.000, 0.000], [0.000, 0.000, 0.500], [0.308, 0.692, 0.750], [0.692, 0.308, 0.250], [0.368, 0.632, 0.250], [0.632, 0.368, 0.750], [0.079, 0.682, 0.859], [0.098, 0.902, 0.250], [0.266, 0.411, 0.589], [0.318, 0.921, 0.641], [0.411, 0.266, 0.089], [0.589, 0.734, 0.911], [0.682, 0.079, 0.359], [0.734, 0.589, 0.411], [0.902, 0.098, 0.750], [0.921, 0.318, 0.141]]
}



{
  "formula": "NdMgFeC",
  "functional": "PBE-GGA",
  "state": "optimized geometry",
  "formation_enthalpy_0k_mev_per_atom": 62,
  "vol_a3_per_fu": 70.8,
  "spacegroup": "P4/nmm (129)",
  "lattice_angstrom": [[3.619, 0.000, 0.000], [0.000, 3.619, 0.000], [0.000, 0.000, 10.817]],
  "species": ["Nd", "Nd", "Mg", "Mg", "Fe", "Fe", "C", "C"],
  "fractional_positions": [[0.250, 0.250, 0.211], [0.750, 0.750, 0.789], [0.250, 0.750, 0.500], [0.750, 0.250, 0.500], [0.250, 0.750, 0.000], [0.750, 0.250, 0.000], [0.250, 0.250, 0.922], [0.750, 0.750, 0.078]]
}



{
  "formula": "V2GeBiCl",
  "functional": "PBE-GGA",
  "state": "optimized geometry",
  "vol_a3_per_fu": 133.7,
  "total_energy_ev_per_atom": -4.9005,
  "spacegroup": "P4/mmm (123)",
  "lattice_angstrom": [[4.927, 0.000, 0.000], [0.000, 4.927, 0.000], [0.000, 0.000, 5.508]],
  "species": ["V", "V", "Ge", "Bi", "Cl"],
  "fractional_positions": [[0.000, 0.500, 0.000], [0.500, 0.000, 0.000], [0.000, 0.000, 0.000], [0.000, 0.000, 0.500], [0.500, 0.500, 0.500]]
}



{
  "formula": "Zr3BiH",
  "functional": "PBE-GGA",
  "state": "optimized geometry",
  "e_above_lowest_polymorph_ev_per_atom": 0.009,
  "vol_a3_per_fu": 98.4,
  "spacegroup": "Fmm2 (42)",
  "lattice_angstrom": [[0.000, 6.760, 4.904], [2.967, 0.000, 4.904], [2.967, 6.760, 0.000]],
  "species": ["Zr", "Zr", "Zr", "Zr", "Zr", "Zr", "Bi", "Bi", "H", "H"],
  "fractional_positions": [[0.000, 0.000, 0.000], [0.400, 0.400, 0.600], [0.450, 0.450, 0.050], [0.590, 0.801, 0.199], [0.801, 0.590, 0.410], [0.950, 0.950, 0.550], [0.034, 0.367, 0.633], [0.367, 0.034, 0.966], [0.042, 0.758, 0.242], [0.758, 0.042, 0.958]]
}



{
  "formula": "CeTh2Co",
  "functional": "PBE-GGA",
  "state": "optimized geometry",
  "e_above_lowest_polymorph_ev_per_atom": 0.136,
  "formation_enthalpy_0k_mev_per_atom": -31,
  "vol_a3_per_fu": 111.4,
  "spacegroup": "R3m (160)",
  "lattice_angstrom": [[1.888, 1.090, 9.024], [-1.888, 1.090, 9.024], [0.000, -2.180, 9.024]],
  "species": ["Ce", "Th", "Th", "Co"],
  "fractional_positions": [[0.000, 0.000, 0.000], [0.562, 0.562, 0.562], [0.775, 0.775, 0.775], [0.167, 0.167, 0.167]]
}



{
  "formula": "Co3GeW",
  "functional": "PBE-GGA",
  "state": "optimized geometry",
  "e_above_lowest_polymorph_ev_per_atom": 0.339,
  "formation_enthalpy_0k_mev_per_atom": 1493,
  "vol_a3_per_fu": 89.5,
  "spacegroup": "Pm-3m (221)",
  "lattice_angstrom": [[4.473, 0.000, 0.000], [0.000, 4.473, 0.000], [0.000, 0.000, 4.473]],
  "species": ["Co", "Co", "Co", "Ge", "W"],
  "fractional_positions": [[0.000, 0.000, 0.500], [0.000, 0.500, 0.000], [0.500, 0.000, 0.000], [0.500, 0.500, 0.500], [0.000, 0.000, 0.000]]
}



{
  "formula": "Tl3IrRh2O6",
  "functional": "PBE-GGA",
  "state": "optimized geometry",
  "vol_a3_per_fu": 175.4,
  "total_energy_ev_per_atom": -5.6071,
  "spacegroup": "C2/m (12)",
  "lattice_angstrom": [[2.804, -4.856, 0.000], [2.804, 4.856, 0.000], [-1.875, 0.000, 6.443]],
  "species": ["Tl", "Tl", "Tl", "Ir", "Rh", "Rh", "O", "O", "O", "O", "O", "O"],
  "fractional_positions": [[0.000, 0.000, 0.000], [0.333, 0.667, 0.000], [0.667, 0.333, 0.000], [0.500, 0.500, 0.500], [0.167, 0.833, 0.500], [0.833, 0.167, 0.500], [0.120, 0.452, 0.355], [0.217, 0.217, 0.645], [0.452, 0.120, 0.355], [0.548, 0.880, 0.645], [0.783, 0.783, 0.355], [0.880, 0.548, 0.645]]
}



{
  "formula": "KVSe2",
  "functional": "PBE-GGA",
  "state": "optimized geometry",
  "vol_a3_per_fu": 96.6,
  "total_energy_ev_per_atom": -5.1662,
  "spacegroup": "R3m (160)",
  "lattice_angstrom": [[1.923, 1.110, 7.540], [-1.923, 1.110, 7.540], [0.000, -2.221, 7.540]],
  "species": ["K", "V", "Se", "Se"],
  "fractional_positions": [[0.000, 0.000, 0.000], [0.169, 0.169, 0.169], [0.562, 0.562, 0.562], [0.774, 0.774, 0.774]]
}